# 1
# LiCdAgGe PBE relaxed
# Energy above the lowest structure with this stoichiometry: 0.0032 eV per atom
# Total DFT energy (no corrections): -2.67 eV/atom
data_LiCdAgGe
_symmetry_space_group_name_H-M 'F -4 3 m'
_symmetry_Int_Tables_number 216
_symmetry_space_group_name_Hall 'F -4 2 3'
_cell_length_a 6.613
_cell_length_b 6.613
_cell_length_c 6.613
_cell_angle_alpha 90.00
_cell_angle_beta 90.00
_cell_angle_gamma 90.00
loop_
_atom_site_label
_atom_site_type_symbol
_atom_site_fract_x
_atom_site_fract_y
_atom_site_fract_z
_atom_site_occupancy
Li1 Li 0.000 0.000 0.000 1
Cd1 Cd 0.250 0.250 0.250 1
Ag1 Ag 0.000 0.000 0.500 1
Ge1 Ge 0.250 0.250 0.750 1

***

# 2
# TaNb2Cu PBE relaxed
# Total DFT energy (no corrections): -8.77 eV/atom
data_TaNb2Cu
_symmetry_space_group_name_H-M 'F -4 3 m'
_symmetry_Int_Tables_number 216
_symmetry_space_group_name_Hall 'F -4 2 3'
_cell_length_a 6.454
_cell_length_b 6.454
_cell_length_c 6.454
_cell_angle_alpha 90.00
_cell_angle_beta 90.00
_cell_angle_gamma 90.00
loop_
_atom_site_label
_atom_site_type_symbol
_atom_site_fract_x
_atom_site_fract_y
_atom_site_fract_z
_atom_site_occupancy
Ta1 Ta 0.000 0.000 0.000 1
Nb1 Nb 0.000 0.000 0.500 1
Nb2 Nb 0.250 0.250 0.750 1
Cu1 Cu 0.250 0.250 0.250 1

***

# 3
# BeFeHgPb PBE relaxed
# Energy above the lowest structure with this stoichiometry: 0.0000 eV per atom
# Total DFT energy (no corrections): -3.25 eV/atom
data_BeFeHgPb
_symmetry_space_group_name_H-M 'F -4 3 m'
_symmetry_Int_Tables_number 216
_symmetry_space_group_name_Hall 'F -4 2 3'
_cell_length_a 6.470
_cell_length_b 6.470
_cell_length_c 6.470
_cell_angle_alpha 90.00
_cell_angle_beta 90.00
_cell_angle_gamma 90.00
loop_
_atom_site_label
_atom_site_type_symbol
_atom_site_fract_x
_atom_site_fract_y
_atom_site_fract_z
_atom_site_occupancy
Be1 Be 0.000 0.000 0.000 1
Fe1 Fe 0.000 0.000 0.500 1
Hg1 Hg 0.250 0.250 0.750 1
Pb1 Pb 0.250 0.250 0.250 1

***

# 4
# LuZrNO PBE relaxed
# Energy above the lowest structure with this stoichiometry: 0.7368 eV per atom
# Total DFT energy (no corrections): -7.92 eV/atom
data_LuZrNO
_symmetry_space_group_name_H-M 'P 4/n m m'
_symmetry_Int_Tables_number 129
_cell_length_a 3.893
_cell_length_b 3.893
_cell_length_c 7.511
_cell_angle_alpha 90.00
_cell_angle_beta 90.00
_cell_angle_gamma 90.00
loop_
_symmetry_equiv_pos_as_xyz
'x,y,z'
'-x,-y,-z'
'-y+1/2,x,z'
'y+1/2,-x,-z'
'-x+1/2,-y+1/2,z'
'x+1/2,y+1/2,-z'
'y,-x+1/2,z'
'-y,x+1/2,-z'
'x+1/2,-y,-z'
'-x+1/2,y,z'
'-y,-x,-z'
'y,x,z'
'-x,y+1/2,-z'
'x,-y+1/2,z'
'y+1/2,x+1/2,-z'
'-y+1/2,-x+1/2,z'
loop_
_atom_site_label
_atom_site_type_symbol
_atom_site_fract_x
_atom_site_fract_y
_atom_site_fract_z
_atom_site_occupancy
Lu1 Lu 0.250 0.750 0.000 1
Zr1 Zr 0.250 0.250 0.367 1
N1 N 0.250 0.250 0.831 1
O1 O 0.250 0.750 0.500 1

***

# 5
# KNbF3 PBE relaxed
# Energy above the lowest structure with this stoichiometry: 0.3499 eV per atom
# Total DFT energy (no corrections): -5.22 eV/atom
data_KNbF3
_symmetry_space_group_name_H-M 'P 4 m m'
_symmetry_Int_Tables_number 99
_cell_length_a 3.681
_cell_length_b 3.681
_cell_length_c 6.045
_cell_angle_alpha 90.00
_cell_angle_beta 90.00
_cell_angle_gamma 90.00
loop_
_symmetry_equiv_pos_as_xyz
'x,y,z'
'-y,x,z'
'-x,-y,z'
'y,-x,z'
'-x,y,z'
'y,x,z'
'x,-y,z'
'-y,-x,z'
loop_
_atom_site_label
_atom_site_type_symbol
_atom_site_fract_x
_atom_site_fract_y
_atom_site_fract_z
_atom_site_occupancy
K1 K 0.000 0.000 0.000 1
Nb1 Nb 0.500 0.500 0.478 1
F1 F 0.000 0.000 0.610 1
F2 F 0.000 0.500 0.296 1

***

# 6
# LaZn4Ag8 PBE relaxed
# Total DFT energy (no corrections): -2.67 eV/atom
data_LaZn4Ag8
_symmetry_space_group_name_H-M 'I 4/m m m'
_symmetry_Int_Tables_number 139
_symmetry_space_group_name_Hall '-I 4 2'
_cell_length_a 9.512
_cell_length_b 9.512
_cell_length_c 5.290
_cell_angle_alpha 90.00
_cell_angle_beta 90.00
_cell_angle_gamma 90.00
loop_
_atom_site_label
_atom_site_type_symbol
_atom_site_fract_x
_atom_site_fract_y
_atom_site_fract_z
_atom_site_occupancy
La1 La 0.000 0.000 0.000 1
Zn1 Zn 0.250 0.250 0.250 1
Ag1 Ag 0.000 0.219 0.500 1
Ag2 Ag 0.000 0.349 0.000 1